A plane-wave DFT calculation with meta-GGA SCAN was carried out for a crystal of Cu2PPt relaxed with PBEsol.

extended XYZ file:
```
8
Lattice="3.574 0.000 0.000 0.000 3.849 0.000 0.000 0.000 7.408" Properties=species:S:1:pos:R:3 pbc="T T T"
Cu 0.000 0.000 0.000
Cu 0.000 1.925 1.663
Cu 1.787 0.000 5.367
Cu 1.787 1.925 3.704
P 0.000 1.925 5.421
P 1.787 0.000 1.717
Pt 0.000 0.000 3.407
Pt 1.787 1.925 7.111
```

Summary:
Uncorrected energy   -1.0219 Ha/atom
V   12.74 Å³ per atom
Total moment   0.000 μB per atom
SG   Imm2

=====

A plane-wave DFT calculation with meta-GGA SCAN was carried out for a crystal of TiTc2MoI relaxed with PBEsol.

extended XYZ file:
```
5
Lattice="4.460 0.000 0.000 0.000 4.460 0.000 0.000 0.000 5.005" Properties=species:S:1:pos:R:3 pbc="T T T"
Ti 0.000 0.000 0.000
Tc 0.000 2.230 0.000
Tc 2.230 0.000 0.000
Mo 2.230 2.230 2.502
I 0.000 0.000 2.502
```

Summary:
V   19.91 Å³ per atom
Uncorrected formation energy   1.75 eV per atom
Total moment   0.138 μB per atom
SG   P4/mmm

=====

A plane-wave DFT calculation with meta-GGA SCAN was carried out for a crystal of CaMgSe2 relaxed with PBEsol.

extended XYZ file:
```
8
Lattice="3.684 0.000 0.000 0.000 3.734 0.000 0.000 0.000 13.495" Properties=species:S:1:pos:R:3 pbc="T T T"
Ca 0.000 0.000 0.000
Ca 1.842 1.867 6.748
Mg 0.000 1.867 10.155
Mg 1.842 0.000 3.408
Se 0.000 0.000 5.483
Se 0.000 1.867 2.306
Se 1.842 0.000 9.054
Se 1.842 1.867 12.231
```

Summary:
V   23.20 Å³ per atom
Uncorrected formation energy   -1.59 eV per atom
Total moment   0.000 μB per atom
SG   Imm2

=====

A plane-wave DFT calculation with meta-GGA SCAN was carried out for a crystal of RbCrAs2Br relaxed with PBEsol.

extended XYZ file:
```
5
Lattice="5.617 0.000 0.000 0.000 5.617 0.000 0.000 0.000 5.829" Properties=species:S:1:pos:R:3 pbc="T T T"
Rb 0.000 0.000 0.000
Cr 2.808 2.808 2.915
As 0.000 2.808 0.000
As 2.808 0.000 0.000
Br 0.000 0.000 2.915
```

Summary:
V   36.78 Å³ per atom
Uncorrected formation energy   1.28 eV per atom
Total moment   0.448 μB per atom
SG   P4/mmm

=====

A plane-wave DFT calculation with meta-GGA SCAN was carried out for a crystal of Ca2LaCl relaxed with PBEsol.

extended XYZ file:
```
8
Lattice="6.767 0.000 0.000 0.000 10.531 0.000 0.000 0.000 3.643" Properties=species:S:1:pos:R:3 pbc="T T T"
Ca 1.692 2.633 0.000
Ca 1.692 7.898 0.000
Ca 5.076 2.633 0.000
Ca 5.076 7.898 0.000
La 0.000 0.000 1.822
La 3.384 5.266 1.822
Cl 0.000 5.266 1.822
Cl 3.384 0.000 1.822
```

Summary:
V   32.46 Å³ per atom
Uncorrected formation energy   -0.40 eV per atom
Total moment   0.025 μB per atom
SG   Cmmm

=====

A plane-wave DFT calculation with meta-GGA SCAN was carried out for a crystal of Cd2TeW relaxed with PBEsol.

extended XYZ file:
```
4
Lattice="3.020 0.000 0.000 0.000 4.908 0.000 -0.017 0.000 5.404" Properties=species:S:1:pos:R:3 pbc="T T T"
Cd 0.000 0.000 0.000
Cd 0.000 2.454 3.906
Te 1.507 2.454 1.374
W 1.509 0.000 2.721
```

Summary:
V   20.03 Å³ per atom
Uncorrected formation energy   0.65 eV per atom
Total moment   0.000 μB per atom
SG   Pm

=====

What is the V in the first record?
12.74 Å³ per atom

=====

Which formula does entry 3 have?
CaMgSe2

=====

Among the records above, which one has the highest total moment?
RbCrAs2Br